# AcTiGa2 | Alexandria | GGA-PBE | relaxed
data_AcTiGa2
_cell_length_a 4.441
_cell_length_b 4.441
_cell_length_c 6.333
_cell_angle_alpha 69.47
_cell_angle_beta 69.47
_cell_angle_gamma 60.00
_space_group_name_H-M_alt 'P 1'
_space_group_IT_number 1
loop_
_space_group_symop_operation_xyz
'x,y,z'
loop_
_atom_site_label
_atom_site_fract_x
_atom_site_fract_y
_atom_site_fract_z
_atom_site_occupancy
Ga1 0.288 0.288 0.135 1
Ga2 0.712 0.712 0.865 1
Ac1 0.500 0.500 0.500 1
Ti1 0.000 0.000 0.000 1
# - V (Å³/atom) = 24.72
# - calculated formation energy (eV/atom) = -0.31
# - symmetry = R-3m
# - final energy (eV/atom) = -4.82
# - Fermi-level density of states (states/eV/atom) = 1.1304


# Ac2TiGa | Alexandria | GGA-PBE | relaxed
data_Ac2TiGa
_cell_length_a 3.640
_cell_length_b 3.640
_cell_length_c 11.665
_cell_angle_alpha 81.02
_cell_angle_beta 81.02
_cell_angle_gamma 60.00
_space_group_name_H-M_alt 'P 1'
_space_group_IT_number 1
loop_
_space_group_symop_operation_xyz
'x,y,z'
loop_
_atom_site_label
_atom_site_fract_x
_atom_site_fract_y
_atom_site_fract_z
_atom_site_occupancy
Ac1 0.094 0.094 0.718 1
Ac2 0.906 0.906 0.282 1
Ga1 0.500 0.500 0.500 1
Ti1 0.000 0.000 0.000 1
# - V (Å³/atom) = 32.92
# - calculated formation energy (eV/atom) = 0.48
# - symmetry = R-3m
# - final energy (eV/atom) = -4.30
# - Fermi-level density of states (states/eV/atom) = 1.2933


# AcTlGa4 | Alexandria | GGA-PBE | relaxed
data_AcTlGa4
_cell_length_a 5.859
_cell_length_b 5.859
_cell_length_c 5.859
_cell_angle_alpha 60.00
_cell_angle_beta 60.00
_cell_angle_gamma 60.00
_space_group_name_H-M_alt 'P 1'
_space_group_IT_number 1
loop_
_space_group_symop_operation_xyz
'x,y,z'
loop_
_atom_site_label
_atom_site_fract_x
_atom_site_fract_y
_atom_site_fract_z
_atom_site_occupancy
Ga1 0.625 0.625 0.124 1
Ga2 0.625 0.124 0.625 1
Ga3 0.124 0.625 0.625 1
Ga4 0.625 0.625 0.625 1
Ac1 0.250 0.250 0.250 1
Tl1 0.000 0.000 0.000 1
# - V (Å³/atom) = 23.70
# - calculated formation energy (eV/atom) = -0.22
# - symmetry = F-43m
# - final energy (eV/atom) = -3.31
# - Fermi-level density of states (states/eV/atom) = 0.8101


# Ac4Tl5Ga2 | Alexandria | GGA-PBE | relaxed
data_Ac4Tl5Ga2
_cell_length_a 4.777
_cell_length_b 8.047
_cell_length_c 9.347
_cell_angle_alpha 90.42
_cell_angle_beta 90.00
_cell_angle_gamma 90.00
_space_group_name_H-M_alt 'P 1'
_space_group_IT_number 1
loop_
_space_group_symop_operation_xyz
'x,y,z'
loop_
_atom_site_label
_atom_site_fract_x
_atom_site_fract_y
_atom_site_fract_z
_atom_site_occupancy
Tl1 0.000 0.566 0.345 1
Tl2 0.000 0.434 0.655 1
Tl3 0.000 0.128 0.129 1
Tl4 0.000 0.500 0.000 1
Tl5 0.000 0.872 0.871 1
Ac1 0.500 0.208 0.857 1
Ac2 0.500 0.792 0.143 1
Ac3 0.500 0.236 0.397 1
Ac4 0.500 0.764 0.603 1
Ga1 0.000 0.074 0.622 1
Ga2 0.000 0.926 0.378 1
# - V (Å³/atom) = 32.67
# - calculated formation energy (eV/atom) = -0.37
# - symmetry = P2/m
# - final energy (eV/atom) = -3.49
# - Fermi-level density of states (states/eV/atom) = 0.9036


# Ac4Tl3Ga | Alexandria | GGA-PBE | relaxed
data_Ac4Tl3Ga
_cell_length_a 4.009
_cell_length_b 4.009
_cell_length_c 16.939
_cell_angle_alpha 90.00
_cell_angle_beta 90.00
_cell_angle_gamma 90.00
_space_group_name_H-M_alt 'P 1'
_space_group_IT_number 1
loop_
_space_group_symop_operation_xyz
'x,y,z'
loop_
_atom_site_label
_atom_site_fract_x
_atom_site_fract_y
_atom_site_fract_z
_atom_site_occupancy
Ac1 0.000 0.000 0.888 1
Ac2 0.000 0.000 0.112 1
Ac3 0.000 0.000 0.629 1
Ac4 0.000 0.000 0.371 1
Tl1 0.500 0.500 0.500 1
Tl2 0.500 0.500 0.757 1
Tl3 0.500 0.500 0.243 1
Ga1 0.500 0.500 0.000 1
# - V (Å³/atom) = 34.02
# - calculated formation energy (eV/atom) = -0.37
# - symmetry = P4/mmm
# - final energy (eV/atom) = -3.69
# - Fermi-level density of states (states/eV/atom) = 0.9482


# Ac3Tl3Ga | Alexandria | GGA-PBE | relaxed
data_Ac3Tl3Ga
_cell_length_a 4.829
_cell_length_b 6.664
_cell_length_c 15.783
_cell_angle_alpha 82.85
_cell_angle_beta 81.20
_cell_angle_gamma 68.76
_space_group_name_H-M_alt 'P 1'
_space_group_IT_number 1
loop_
_space_group_symop_operation_xyz
'x,y,z'
loop_
_atom_site_label
_atom_site_fract_x
_atom_site_fract_y
_atom_site_fract_z
_atom_site_occupancy
Tl1 0.886 0.149 0.078 1
Tl2 0.159 0.221 0.461 1
Tl3 0.114 0.851 0.922 1
Tl4 0.841 0.779 0.539 1
Tl5 0.009 0.213 0.768 1
Tl6 0.991 0.787 0.232 1
Ac1 0.267 0.231 0.235 1
Ac2 0.733 0.769 0.765 1
Ac3 0.393 0.291 0.923 1
Ac4 0.516 0.353 0.615 1
Ac5 0.607 0.709 0.077 1
Ac6 0.484 0.647 0.385 1
Ga1 0.222 0.932 0.624 1
Ga2 0.778 0.068 0.376 1
# - V (Å³/atom) = 33.32
# - calculated formation energy (eV/atom) = -0.38
# - symmetry = C2/m
# - final energy (eV/atom) = -3.59
# - Fermi-level density of states (states/eV/atom) = 0.8145


# Ac4Tl2Ga | Alexandria | GGA-PBE | relaxed
data_Ac4Tl2Ga
_cell_length_a 5.713
_cell_length_b 5.713
_cell_length_c 9.822
_cell_angle_alpha 73.09
_cell_angle_beta 73.09
_cell_angle_gamma 60.00
_space_group_name_H-M_alt 'P 1'
_space_group_IT_number 1
loop_
_space_group_symop_operation_xyz
'x,y,z'
loop_
_atom_site_label
_atom_site_fract_x
_atom_site_fract_y
_atom_site_fract_z
_atom_site_occupancy
Ac1 0.877 0.877 0.368 1
Ac2 0.625 0.625 0.124 1
Ac3 0.123 0.123 0.632 1
Ac4 0.375 0.375 0.876 1
Ga1 0.000 0.000 0.000 1
Tl1 0.753 0.753 0.742 1
Tl2 0.247 0.247 0.258 1
# - V (Å³/atom) = 37.36
# - calculated formation energy (eV/atom) = -0.25
# - symmetry = R-3m
# - final energy (eV/atom) = -3.70
# - Fermi-level density of states (states/eV/atom) = 1.3230


# Ac5Tl2Ga2 | Alexandria | GGA-PBE | relaxed
data_Ac5Tl2Ga2
_cell_length_a 8.420
_cell_length_b 8.536
_cell_length_c 9.836
_cell_angle_alpha 115.72
_cell_angle_beta 90.00
_cell_angle_gamma 90.00
_space_group_name_H-M_alt 'P 1'
_space_group_IT_number 1
loop_
_space_group_symop_operation_xyz
'x,y,z'
loop_
_atom_site_label
_atom_site_fract_x
_atom_site_fract_y
_atom_site_fract_z
_atom_site_occupancy
Ac1 0.176 0.181 0.735 1
Ac2 0.324 0.681 0.735 1
Ac3 0.676 0.054 0.735 1
Ac4 0.824 0.554 0.735 1
Ac5 0.500 0.500 0.000 1
Ac6 0.824 0.819 0.265 1
Ac7 0.676 0.319 0.265 1
Ac8 0.000 0.000 0.000 1
Ac9 0.324 0.946 0.265 1
Ac10 0.176 0.446 0.265 1
Tl1 0.500 0.718 0.436 1
Tl2 0.000 0.218 0.436 1
Tl3 0.500 0.282 0.564 1
Tl4 0.000 0.782 0.564 1
Ga1 0.886 0.390 0.000 1
Ga2 0.614 0.890 0.000 1
Ga3 0.114 0.610 0.000 1
Ga4 0.386 0.110 0.000 1
# - V (Å³/atom) = 35.38
# - calculated formation energy (eV/atom) = -0.37
# - symmetry = Cmce
# - final energy (eV/atom) = -3.85
# - Fermi-level density of states (states/eV/atom) = 0.9236


What did the first record say?
# AcTiGa2 | Alexandria | GGA-PBE | relaxed
data_AcTiGa2
_cell_length_a 4.441
_cell_length_b 4.441
_cell_length_c 6.333
_cell_angle_alpha 69.47
_cell_angle_beta 69.47
_cell_angle_gamma 60.00
_space_group_name_H-M_alt 'P 1'
_space_group_IT_number 1
loop_
_space_group_symop_operation_xyz
'x,y,z'
loop_
_atom_site_label
_atom_site_fract_x
_atom_site_fract_y
_atom_site_fract_z
_atom_site_occupancy
Ga1 0.288 0.288 0.135 1
Ga2 0.712 0.712 0.865 1
Ac1 0.500 0.500 0.500 1
Ti1 0.000 0.000 0.000 1
# - V (Å³/atom) = 24.72
# - calculated formation energy (eV/atom) = -0.31
# - symmetry = R-3m
# - final energy (eV/atom) = -4.82
# - Fermi-level density of states (states/eV/atom) = 1.1304